Material: CrCoO4
Method: DFT, GGA+U
State: optimized geometry

Results
Its density of states at the Fermi level is 0.00 states/eV per cell. The crystal system is monoclinic. As for the calculated volume: 149.3 Å³/cell. The value obtained for the calculated density is 3.892 Mg/m³. As for the total DFT energy (no corrections): -6.57 eV/atom.

Cell: 5.0344 5.0559 6.3811 Å, 89.99 90.00 113.22°
Site moments in Bohr magnetons follow the coordinates.
Element x y z (fractional)
Cr (0.3534, 0.6421, 0.7499)  0.17
Cr (0.6466, 0.3579, 0.2501)  0.17
Co (0.0000, 0.0000, 0.5000)  2.69
Co (0.0000, 0.0000, 0.0000)  2.69
O (0.2400, 0.7573, 0.5425)  0.02
O (0.7602, 0.2426, 0.0428)  0.02
O (0.2398, 0.7574, 0.9572)  0.02
O (0.7600, 0.2427, 0.4575)  0.02
O (0.7894, 0.7279, 0.2500)  0.03
O (0.2775, 0.2207, 0.2500)  0.03
O (0.2106, 0.2720, 0.7500)  0.03
O (0.7226, 0.7793, 0.7500)  0.03